1.
# Ac2In5Hg12 GGA-PBE optimized geometry
data_Ac2In5Hg12
_symmetry_space_group_name_H-M 'C 1 2/m 1'
_symmetry_Int_Tables_number 12
_symmetry_space_group_name_Hall '-C 2y'
_cell_length_a 16.2321
_cell_length_b 10.3599
_cell_length_c 6.1925
_cell_angle_alpha 90.00
_cell_angle_beta 99.86
_cell_angle_gamma 90.00
loop_
_atom_site_label
_atom_site_fract_x
_atom_site_fract_y
_atom_site_fract_z
Ac1 0.0000 0.2190 0.0000
In1 0.0000 0.0000 0.5000
In2 0.1417 0.5000 0.8286
In3 0.1994 0.0000 0.4081
Hg1 0.0575 0.5000 0.2816
Hg2 0.1062 0.2532 0.5596
Hg3 0.1477 0.0000 0.9151
Hg4 0.2103 0.3027 0.1949
# Size of the total moment   0.000 μB/atom
# Raw total energy   -0.1110 Ry per atom
# Density   11.120 g/cm3

2.
# AcIn4Hg2 GGA-PBE optimized geometry
data_AcIn4Hg2
_symmetry_space_group_name_H-M 'C m m m'
_symmetry_Int_Tables_number 65
_symmetry_space_group_name_Hall '-C 2 2'
_cell_length_a 4.9821
_cell_length_b 17.3097
_cell_length_c 4.5557
_cell_angle_alpha 90.00
_cell_angle_beta 90.00
_cell_angle_gamma 90.00
loop_
_atom_site_label
_atom_site_fract_x
_atom_site_fract_y
_atom_site_fract_z
Ac1 0.0000 0.0000 0.0000
In1 0.0000 0.1790 0.5000
In2 0.0000 0.3085 0.0000
Hg1 0.0000 0.4188 0.5000
# Size of the total moment   0.000 μB/atom
# Raw total energy   -0.1775 Ry per atom
# Density   9.192 g/cm3

3.
# Ac2InHg2 GGA-PBE optimized geometry
data_Ac2InHg2
_symmetry_space_group_name_H-M 'C 1 2/m 1'
_symmetry_Int_Tables_number 12
_symmetry_space_group_name_Hall '-C 2y'
_cell_length_a 12.1110
_cell_length_b 4.9369
_cell_length_c 12.0670
_cell_angle_alpha 90.00
_cell_angle_beta 117.60
_cell_angle_gamma 90.00
loop_
_atom_site_label
_atom_site_fract_x
_atom_site_fract_y
_atom_site_fract_z
Ac1 0.0110 0.0000 0.3374
Ac2 0.1865 0.0000 0.1054
In1 0.2177 0.5000 0.3386
Hg1 0.0339 0.5000 0.8879
Hg2 0.1430 0.5000 0.5586
# Size of the total moment   0.000 μB/atom
# Energy above the most stable polymorph in this dataset   0.000 eV/atom
# Density   10.076 g/cm3

4.
# AcIn2Hg2 GGA-PBE optimized geometry
data_AcIn2Hg2
_symmetry_space_group_name_H-M 'P -1'
_symmetry_Int_Tables_number 2
_symmetry_space_group_name_Hall '-P 1'
_cell_length_a 6.3697
_cell_length_b 6.6382
_cell_length_c 7.7844
_cell_angle_alpha 76.25
_cell_angle_beta 75.37
_cell_angle_gamma 66.43
loop_
_atom_site_label
_atom_site_fract_x
_atom_site_fract_y
_atom_site_fract_z
Ac1 0.1789 0.1946 0.1922
In1 0.0255 0.2871 0.6581
In2 0.4133 0.3860 0.7523
Hg1 0.2744 0.7733 0.9784
Hg2 0.3546 0.8453 0.5636
# Size of the total moment   0.000 μB/atom
# Energy above the most stable polymorph in this dataset   0.052 eV/atom
# Density   9.877 g/cm3

5.
# AcIn4Hg7 GGA-PBE optimized geometry
data_AcIn4Hg7
_symmetry_space_group_name_H-M 'P -1'
_symmetry_Int_Tables_number 2
_symmetry_space_group_name_Hall '-P 1'
_cell_length_a 6.0331
_cell_length_b 6.7621
_cell_length_c 8.3601
_cell_angle_alpha 103.60
_cell_angle_beta 95.18
_cell_angle_gamma 97.90
loop_
_atom_site_label
_atom_site_fract_x
_atom_site_fract_y
_atom_site_fract_z
Ac1 0.0000 0.0000 0.0000
In1 0.1981 0.2601 0.6794
In2 0.3148 0.4430 0.3295
Hg1 0.0000 0.5000 0.0000
Hg2 0.1854 0.7366 0.6450
Hg3 0.3111 0.9576 0.3508
Hg4 0.4717 0.7489 0.0000
# Size of the total moment   0.000 μB/atom
# Raw total energy   -0.1149 Ry per atom
# Density   10.659 g/cm3

6.
# AcIn2Hg2 GGA-PBE optimized geometry
data_AcIn2Hg2
_symmetry_space_group_name_H-M 'I 4/m m m'
_symmetry_Int_Tables_number 139
_symmetry_space_group_name_Hall '-I 4 2'
_cell_length_a 4.7256
_cell_length_b 4.7256
_cell_length_c 12.5312
_cell_angle_alpha 90.00
_cell_angle_beta 90.00
_cell_angle_gamma 90.00
loop_
_atom_site_label
_atom_site_fract_x
_atom_site_fract_y
_atom_site_fract_z
Ac1 0.0000 0.0000 0.0000
In1 0.0000 0.5000 0.2500
Hg1 0.0000 0.0000 0.3892
# Size of the total moment   0.000 μB/atom
# Energy above the most stable polymorph in this dataset   0.000 eV/atom
# Density   10.180 g/cm3

7.
# Ac3In2Hg6 GGA-PBE optimized geometry
data_Ac3In2Hg6
_symmetry_space_group_name_H-M 'I 4/m m m'
_symmetry_Int_Tables_number 139
_symmetry_space_group_name_Hall '-I 4 2'
_cell_length_a 4.4930
_cell_length_b 4.4930
_cell_length_c 34.2415
_cell_angle_alpha 90.00
_cell_angle_beta 90.00
_cell_angle_gamma 90.00
loop_
_atom_site_label
_atom_site_fract_x
_atom_site_fract_y
_atom_site_fract_z
Ac1 0.0000 0.0000 0.0000
Ac2 0.0000 0.0000 0.1759
In1 0.0000 0.0000 0.3650
Hg1 0.0000 0.0000 0.2731
Hg2 0.0000 0.5000 0.0739
# Size of the total moment   0.000 μB/atom
# Raw total energy   -0.1511 Ry per atom
# Density   10.158 g/cm3

8.
# Ac8InHg2 GGA-PBE optimized geometry
data_Ac8InHg2
_symmetry_space_group_name_H-M 'C 1 2/m 1'
_symmetry_Int_Tables_number 12
_symmetry_space_group_name_Hall '-C 2y'
_cell_length_a 17.8280
_cell_length_b 5.9370
_cell_length_c 9.3587
_cell_angle_alpha 90.00
_cell_angle_beta 119.96
_cell_angle_gamma 90.00
loop_
_atom_site_label
_atom_site_fract_x
_atom_site_fract_y
_atom_site_fract_z
Ac1 0.0692 0.0000 0.2235
Ac2 0.0982 0.5000 0.9526
Ac3 0.1384 0.0000 0.6977
Ac4 0.1823 0.5000 0.4640
In1 0.0000 0.5000 0.5000
Hg1 0.2240 0.0000 0.1165
# Size of the total moment   0.000 μB/atom
# Energy above the most stable polymorph in this dataset   0.000 eV/atom
# Density   9.024 g/cm3

9.
# AcIn12Hg7 GGA-PBE optimized geometry
data_AcIn12Hg7
_symmetry_space_group_name_H-M 'P -1'
_symmetry_Int_Tables_number 2
_symmetry_space_group_name_Hall '-P 1'
_cell_length_a 7.4341
_cell_length_b 9.0644
_cell_length_c 9.3135
_cell_angle_alpha 74.55
_cell_angle_beta 67.83
_cell_angle_gamma 72.69
loop_
_atom_site_label
_atom_site_fract_x
_atom_site_fract_y
_atom_site_fract_z
Ac1 0.0000 0.0000 0.0000
In1 0.0307 0.6102 0.2246
In2 0.2168 0.2533 0.4106
In3 0.2670 0.5889 0.4597
In4 0.3192 0.5315 0.7913
In5 0.4125 0.1761 0.6941
In6 0.4403 0.6919 0.9883
Hg1 0.1138 0.2917 0.0992
Hg2 0.1276 0.9480 0.3357
Hg3 0.3161 0.8826 0.6485
Hg4 0.5000 0.0000 0.0000
# Size of the total moment   0.000 μB/atom
# Raw total energy   -0.1478 Ry per atom
# Density   9.145 g/cm3

10.
# AcInHg6 GGA-PBE optimized geometry
data_AcInHg6
_symmetry_space_group_name_H-M 'A m m 2'
_symmetry_Int_Tables_number 38
_symmetry_space_group_name_Hall 'A 2 -2'
_cell_length_a 5.1180
_cell_length_b 7.6001
_cell_length_c 11.3025
_cell_angle_alpha 90.00
_cell_angle_beta 90.00
_cell_angle_gamma 90.00
loop_
_atom_site_label
_atom_site_fract_x
_atom_site_fract_y
_atom_site_fract_z
Ac1 0.0000 0.0000 0.0000
In1 0.5000 0.0000 0.2567
Hg1 0.0000 0.0000 0.4589
Hg2 0.0000 0.2210 0.7314
Hg3 0.5000 0.0000 0.7985
Hg4 0.5000 0.2128 0.5254
# Size of the total moment   0.000 μB/atom
# Raw total energy   -0.0940 Ry per atom
# Density   11.674 g/cm3

11.
# Ac2In2Hg GGA-PBE optimized geometry
data_Ac2In2Hg
_symmetry_space_group_name_H-M 'C 1 2/m 1'
_symmetry_Int_Tables_number 12
_symmetry_space_group_name_Hall '-C 2y'
_cell_length_a 11.9874
_cell_length_b 5.0715
_cell_length_c 12.0470
_cell_angle_alpha 90.00
_cell_angle_beta 117.64
_cell_angle_gamma 90.00
loop_
_atom_site_label
_atom_site_fract_x
_atom_site_fract_y
_atom_site_fract_z
Ac1 0.0155 0.0000 0.3316
Ac2 0.1821 0.0000 0.1028
In1 0.0255 0.5000 0.8869
In2 0.1415 0.5000 0.5582
Hg1 0.2242 0.5000 0.3399
# Size of the total moment   0.001 μB/atom
# Raw total energy   -0.2400 Ry per atom
# Density   9.052 g/cm3

12.
# AcIn6Hg GGA-PBE optimized geometry
data_AcIn6Hg
_symmetry_space_group_name_H-M 'C m m m'
_symmetry_Int_Tables_number 65
_symmetry_space_group_name_Hall '-C 2 2'
_cell_length_a 8.0237
_cell_length_b 11.3404
_cell_length_c 4.9870
_cell_angle_alpha 90.00
_cell_angle_beta 90.00
_cell_angle_gamma 90.00
loop_
_atom_site_label
_atom_site_fract_x
_atom_site_fract_y
_atom_site_fract_z
Ac1 0.0000 0.0000 0.0000
In1 0.0000 0.2282 0.5000
In2 0.2023 0.5000 0.5000
In3 0.2500 0.2500 0.0000
Hg1 0.0000 0.5000 0.0000
# Size of the total moment   0.000 μB/atom
# Raw total energy   -0.2027 Ry per atom
# Density   8.171 g/cm3

13.
# Ac4InHg5 GGA-PBE optimized geometry
data_Ac4InHg5
_symmetry_space_group_name_H-M 'P 4/m m m'
_symmetry_Int_Tables_number 123
_symmetry_space_group_name_Hall '-P 4 2'
_cell_length_a 4.0457
_cell_length_b 4.0457
_cell_length_c 19.3087
_cell_angle_alpha 90.00
_cell_angle_beta 90.00
_cell_angle_gamma 90.00
loop_
_atom_site_label
_atom_site_fract_x
_atom_site_fract_y
_atom_site_fract_z
Ac1 0.0000 0.0000 0.1052
Ac2 0.0000 0.0000 0.3138
In1 0.0000 0.0000 0.5000
Hg1 0.5000 0.5000 0.0000
Hg2 0.5000 0.5000 0.2080
Hg3 0.5000 0.5000 0.4137
# Size of the total moment   0.001 μB/atom
# Raw total energy   -0.1823 Ry per atom
# Density   10.644 g/cm3

14.
# Ac3In2Hg7 GGA-PBE optimized geometry
data_Ac3In2Hg7
_symmetry_space_group_name_H-M 'P 1 2/m 1'
_symmetry_Int_Tables_number 10
_symmetry_space_group_name_Hall '-P 2y'
_cell_length_a 4.9872
_cell_length_b 4.7859
_cell_length_c 15.0417
_cell_angle_alpha 90.00
_cell_angle_beta 99.34
_cell_angle_gamma 90.00
loop_
_atom_site_label
_atom_site_fract_x
_atom_site_fract_y
_atom_site_fract_z
Ac1 0.0000 0.0000 0.0000
Ac2 0.3196 0.5000 0.6426
In1 0.1338 0.0000 0.2694
Hg1 0.0818 0.5000 0.1581
Hg2 0.2291 0.0000 0.4569
Hg3 0.4199 0.0000 0.8404
Hg4 0.5000 0.5000 0.0000
# Size of the total moment   0.000 μB/atom
# Raw total energy   -0.1467 Ry per atom
# Density   10.850 g/cm3

15.
# Ac2InHg2 GGA-PBE optimized geometry
data_Ac2InHg2
_symmetry_space_group_name_H-M 'C 1 2/c 1'
_symmetry_Int_Tables_number 15
_symmetry_space_group_name_Hall '-C 2yc'
_cell_length_a 11.6500
_cell_length_b 6.3834
_cell_length_c 8.7685
_cell_angle_alpha 90.00
_cell_angle_beta 104.33
_cell_angle_gamma 90.00
loop_
_atom_site_label
_atom_site_fract_x
_atom_site_fract_y
_atom_site_fract_z
Ac1 0.1455 0.1261 0.1452
In1 0.0000 0.3212 0.7500
Hg1 0.1327 0.3687 0.4898
# Size of the total moment   0.000 μB/atom
# Energy above the most stable polymorph in this dataset   0.008 eV/atom
# Density   10.198 g/cm3

16.
# Ac8InHg2 GGA-PBE optimized geometry
data_Ac8InHg2
_symmetry_space_group_name_H-M 'C 1 2/m 1'
_symmetry_Int_Tables_number 12
_symmetry_space_group_name_Hall '-C 2y'
_cell_length_a 20.1996
_cell_length_b 5.6821
_cell_length_c 7.9519
_cell_angle_alpha 90.00
_cell_angle_beta 108.77
_cell_angle_gamma 90.00
loop_
_atom_site_label
_atom_site_fract_x
_atom_site_fract_y
_atom_site_fract_z
Ac1 0.0249 0.0000 0.2706
Ac2 0.0905 0.5000 0.9635
Ac3 0.1704 0.5000 0.4775
Ac4 0.1961 0.0000 0.8187
In1 0.0000 0.5000 0.5000
Hg1 0.1790 0.0000 0.2105
# Size of the total moment   0.000 μB/atom
# Energy above the most stable polymorph in this dataset   0.011 eV/atom
# Density   8.962 g/cm3

17.
# AcIn2Hg GGA-PBE optimized geometry
data_AcIn2Hg
_symmetry_space_group_name_H-M 'P 4/m m m'
_symmetry_Int_Tables_number 123
_symmetry_space_group_name_Hall '-P 4 2'
_cell_length_a 3.9436
_cell_length_b 3.9436
_cell_length_c 7.5676
_cell_angle_alpha 90.00
_cell_angle_beta 90.00
_cell_angle_gamma 90.00
loop_
_atom_site_label
_atom_site_fract_x
_atom_site_fract_y
_atom_site_fract_z
Ac1 0.0000 0.0000 0.0000
In1 0.5000 0.5000 0.2944
Hg1 0.0000 0.0000 0.5000
# Size of the total moment   0.051 μB/atom
# Energy above the most stable polymorph in this dataset   0.159 eV/atom
# Density   9.273 g/cm3

18.
# AcInHg GGA-PBE optimized geometry
data_AcInHg
_symmetry_space_group_name_H-M 'I 4 m m'
_symmetry_Int_Tables_number 107
_symmetry_space_group_name_Hall 'I 4 -2'
_cell_length_a 3.8762
_cell_length_b 3.8762
_cell_length_c 12.1356
_cell_angle_alpha 90.00
_cell_angle_beta 90.00
_cell_angle_gamma 90.00
loop_
_atom_site_label
_atom_site_fract_x
_atom_site_fract_y
_atom_site_fract_z
Ac1 0.0000 0.0000 0.0000
In1 0.0000 0.0000 0.6894
Hg1 0.0000 0.0000 0.3261
# Size of the total moment   0.036 μB/atom
# Energy above the most stable polymorph in this dataset   0.154 eV/atom
# Density   9.879 g/cm3

19.
# AcIn2Hg GGA-PBE optimized geometry
data_AcIn2Hg
_symmetry_space_group_name_H-M 'C m c m'
_symmetry_Int_Tables_number 63
_symmetry_space_group_name_Hall '-C 2c 2'
_cell_length_a 4.9399
_cell_length_b 18.4480
_cell_length_c 10.2598
_cell_angle_alpha 90.00
_cell_angle_beta 90.00
_cell_angle_gamma 90.00
loop_
_atom_site_label
_atom_site_fract_x
_atom_site_fract_y
_atom_site_fract_z
Ac1 0.0000 0.0000 0.0000
Ac2 0.0000 0.1957 0.2500
In1 0.0000 0.1910 0.6027
In2 0.0000 0.3970 0.2500
In3 0.0000 0.4499 0.7500
Hg1 0.0000 0.3533 0.5307
# Size of the total moment   0.000 μB/atom
# Energy above the most stable polymorph in this dataset   0.000 eV/atom
# Density   9.338 g/cm3

20.
# AcIn7Hg12 GGA-PBE optimized geometry
data_AcIn7Hg12
_symmetry_space_group_name_H-M 'I m -3'
_symmetry_Int_Tables_number 204
_symmetry_space_group_name_Hall '-I 2 2 3'
_cell_length_a 10.9437
_cell_length_b 10.9437
_cell_length_c 10.9437
_cell_angle_alpha 90.00
_cell_angle_beta 90.00
_cell_angle_gamma 90.00
loop_
_atom_site_label
_atom_site_fract_x
_atom_site_fract_y
_atom_site_fract_z
Ac1 0.0000 0.0000 0.0000
In1 0.0000 0.0000 0.5000
In2 0.2500 0.2500 0.2500
Hg1 0.0000 0.2778 0.1580
# Size of the total moment   0.000 μB/atom
# Raw total energy   -0.0938 Ry per atom
# Density   8.711 g/cm3